Record 1
VASP calculation (PBE) on a relaxed structure of Ca2SbIr.

Properties
The total magnetization is 0.00 μB per atom. Its raw formation energy is -551 meV per atom.

Unit cell a=4.0613 b=4.6649 c=6.0658 alpha=67.42 beta=90.00 gamma=90.00
Fractional positions:
Ir 0.0000 0.7050 0.4643
Ca 0.0000 0.9732 0.9291
Ca 0.5000 0.2624 0.3500
Sb 0.5000 0.5594 0.7566

Record 2
VASP calculation (PBE) on a relaxed structure of CaSb2Ir.

Properties
The total magnetization is 0.00 μB per atom. Its raw formation energy is -141 meV per atom.

Unit cell a=5.6551 b=5.6551 c=5.6551 alpha=135.36 beta=135.36 gamma=64.98
Fractional positions:
Sb 0.0000 0.0000 0.0000
Sb 0.2500 0.7500 0.5000
Ir 0.7500 0.2500 0.5000
Ca 0.5000 0.5000 0.0000

Record 3
VASP calculation (PBE) on a relaxed structure of CaSb2Ir.

Properties
The total magnetization is 0.00 μB per atom. Its raw formation energy is -316 meV per atom.

Unit cell a=6.6534 b=6.6534 c=6.6534 alpha=150.07 beta=134.68 gamma=55.27
Fractional positions:
Sb 0.4264 0.4264 0.0000
Sb 0.0736 0.0736 0.0000
Ca 0.7500 0.2500 0.5000
Ir 0.2500 0.7500 0.5000

Record 4
VASP calculation (PBE) on a relaxed structure of Ca2SbIr.

Properties
The total magnetization is 0.00 μB per atom. Its raw formation energy is -339 meV per atom.

Unit cell a=10.4446 b=10.4446 c=7.8050 alpha=48.00 beta=48.00 gamma=90.00
Fractional positions:
Sb 0.5000 0.5000 0.0000
Sb 0.2500 0.7500 0.5000
Ca 0.9588 0.6250 0.2500
Ca 0.8750 0.0412 0.7500
Ca 0.7912 0.1250 0.2500
Ca 0.3750 0.2088 0.7500
Ir 0.7500 0.2500 0.5000
Ir 0.0000 0.0000 0.0000

Record 5
VASP calculation (PBE) on a relaxed structure of CaSb2Ir.

Properties
The total magnetization is 0.00 μB per atom. Its raw formation energy is -170 meV per atom.

Unit cell a=4.5766 b=4.5766 c=4.1885 alpha=90.00 beta=90.00 gamma=90.06
Fractional positions:
Ir 0.0000 0.5000 0.5000
Ca 0.5000 0.0000 0.5000
Sb 0.5000 0.5000 0.0000
Sb 0.0000 0.0000 0.0000

Record 6
VASP calculation (PBE) on a relaxed structure of CaSb2Ir.

Properties
The total magnetization is 0.00 μB per atom. Its raw formation energy is -189 meV per atom.

Unit cell a=5.1058 b=3.2918 c=5.5141 alpha=89.98 beta=90.00 gamma=90.00
Fractional positions:
Ir 0.5000 0.0000 0.7671
Sb 0.0000 0.9996 0.9623
Sb 0.5000 0.0005 0.2805
Ca 0.0000 0.5000 0.4901

Record 7
VASP calculation (PBE) on a relaxed structure of CaSb2Ir2.

Properties
The total magnetization is 0.00 μB per atom. Its raw formation energy is -362 meV per atom.

Unit cell a=4.7825 b=4.7825 c=5.9403 alpha=66.26 beta=66.26 gamma=90.00
Fractional positions:
Sb 0.2500 0.7500 0.5000
Sb 0.7500 0.2500 0.5000
Ca 0.0000 0.0000 0.0000
Ir 0.6341 0.6341 0.7318
Ir 0.3659 0.3659 0.2682

Record 8
VASP calculation (PBE) on a relaxed structure of CaSb2Ir.

Properties
The total magnetization is 0.00 μB per atom. Its raw formation energy is -147 meV per atom.

Unit cell a=5.0022 b=5.0022 c=5.0022 alpha=60.00 beta=60.00 gamma=60.00
Fractional positions:
Ca 0.0000 0.0000 0.0000
Sb 0.2500 0.2500 0.2500
Sb 0.7500 0.7500 0.7500
Ir 0.5000 0.5000 0.5000

Record 9
VASP calculation (PBE) on a relaxed structure of CaSbIr.

Properties
The total magnetization is 0.00 μB per atom. Its raw formation energy is -344 meV per atom.

Unit cell a=6.1514 b=6.1514 c=3.4605 alpha=73.66 beta=73.66 gamma=32.67
Fractional positions:
Ir 0.3072 0.3072 0.6928
Sb 0.7020 0.7020 0.2980
Ca 0.9908 0.9908 0.0092

Record 10
VASP calculation (PBE) on a relaxed structure of Ca2SbIr.

Properties
The total magnetization is 0.00 μB per atom. Its raw formation energy is -523 meV per atom.

Unit cell a=6.8301 b=6.8301 c=4.9288 alpha=68.87 beta=68.87 gamma=28.52
Fractional positions:
Ca 0.2009 0.2009 0.2992
Ca 0.9985 0.9985 0.0014
Ir 0.4861 0.4861 0.5137
Sb 0.8146 0.8146 0.6857

Record 11
VASP calculation (PBE) on a relaxed structure of CaSb2Ir.

Properties
The total magnetization is 0.00 μB per atom. Its raw formation energy is -163 meV per atom.

Unit cell a=3.4431 b=3.4431 c=7.8116 alpha=90.00 beta=90.00 gamma=97.61
Fractional positions:
Sb 0.0000 0.0000 0.5450
Sb 0.0000 0.0000 0.9550
Ir 0.5000 0.5000 0.7500
Ca 0.5000 0.5000 0.2500

Record 12
VASP calculation (PBE) on a relaxed structure of CaSbIr.

Properties
The total magnetization is 0.00 μB per atom. Its raw formation energy is -534 meV per atom.

Unit cell a=4.4623 b=4.4623 c=4.2302 alpha=90.00 beta=90.00 gamma=120.00
Fractional positions:
Sb 0.3333 0.6667 0.4999
Ir 0.6667 0.3333 0.5004
Ca 0.0000 0.0000 0.9997